1.
First-principles (PBE) data for Ac12HoRu7 after structural relaxation, as listed in Alexandria via LeMat-Bulk.

The crystal system is trigonal.

It has space group R-3 (No. 148, hexagonal axes), with a = 15.0970 Å, b = 15.0970 Å, c = 10.2662 Å, α = 90.00°, β = 90.00° and γ = 120.00°. The distinct sites, in fractional coordinates, are Ac at (0.0221, 0.5843, 0.1586), Ac at (0.0482, 0.1711, 0.8247), Ho at (0.0000, 0.0000, 0.5000), Ru at (0.0000, 0.0000, 0.0000) and Ru at (0.0392, 0.1848, 0.3415).

=====

2.
First-principles (PBE) data for Na2LiCe2S6 after structural relaxation, as listed in Alexandria via LeMat-Bulk.

The calculation puts the energy relative to the elements, uncorrected at -1367.3 meV/atom. The crystal system is monoclinic.

It has space group C2/m (No. 12), with a = 6.898 Å, b = 12.307 Å, c = 6.896 Å, α = 90.00°, β = 108.07° and γ = 90.00°. The distinct sites, in fractional coordinates, are Na at (0.000, 0.158, 0.000), Li at (0.000, 0.000, 0.500), Ce at (0.000, 0.337, 0.500), S at (0.241, 0.178, 0.723) and S at (0.246, 0.500, 0.713).

=====

3.
First-principles (PBE) data for YErSiIr after structural relaxation, as listed in Alexandria via LeMat-Bulk.

The calculation puts the energy relative to the elements, uncorrected at -884.0 meV/atom. The crystal system is orthorhombic.

It has space group Amm2 (No. 38), with a = 3.902 Å, b = 4.189 Å, c = 10.651 Å, α = 90.00°, β = 90.00° and γ = 90.00°. The distinct sites, in fractional coordinates, are Y at (0.000, 0.000, 0.000), Er at (0.500, 0.000, 0.283), Si at (0.500, 0.000, 0.577) and Ir at (0.000, 0.000, 0.721).

=====

Number 1: final energy -365.511 eV/cell, calculated volume 2026.4 Å³/cell, DOS(E_F) 0.5528 states/eV/atom. Number 2: final energy -112.450 eV/cell, calculated volume 556.6 Å³/cell, DOS(E_F) 1.6144 states/eV/atom. Number 3: final energy -57.694 eV/cell, calculated volume 174.1 Å³/cell, DOS(E_F) 0.5640 states/eV/atom.